Below is crystalline Tm10Bi3Pb3 at its relaxed geometry, with properties calculated at the PBE-GGA level.

ΔE_f: -0.56 eV/atom
DOS at the Fermi energy: 0.627 states/eV per atom
space group: P-62m (189)
total energy: -76.43 eV per cell

Cell: 6.410 9.006 9.006 Å, 120.00 90.00 90.00°
Sites, in units of the cell vectors:
Tm  0.500  0.238  0.238
Tm  0.000  0.762  0.762
Tm  0.748  0.667  0.333
Tm  0.748  0.333  0.667
Tm  0.252  0.333  0.667
Tm  0.500  0.000  0.762
Tm  0.000  0.238  0.000
Tm  0.252  0.667  0.333
Tm  0.000  0.000  0.238
Tm  0.500  0.762  0.000
Bi  0.000  0.000  0.608
Bi  0.000  0.392  0.392
Bi  0.000  0.608  0.000
Pb  0.500  0.000  0.392
Pb  0.500  0.608  0.608
Pb  0.500  0.392  0.000

=====

Below is crystalline Tm8Bi3Pb4 at its relaxed geometry, with properties calculated at the PBE-GGA level.

ΔE_f: -0.39 eV/atom
DOS at the Fermi energy: 0.667 states/eV per atom
space group: C2/m (12)
total energy: -68.04 eV per cell

Cell: 8.845 8.815 8.815 Å, 89.97 120.16 120.16°
Sites, in units of the cell vectors:
Pb  0.500  0.000  0.000
Pb  0.000  0.000  0.000
Pb  0.000  0.500  0.000
Pb  0.000  0.000  0.500
Tm  0.002  0.758  0.758
Tm  0.000  0.242  0.758
Tm  0.482  0.239  0.239
Tm  0.500  0.750  0.250
Tm  0.000  0.758  0.242
Tm  0.998  0.242  0.242
Tm  0.500  0.250  0.750
Tm  0.518  0.761  0.761
Bi  0.500  0.000  0.500
Bi  0.500  0.500  0.000
Bi  0.500  0.500  0.500

=====

Below is crystalline Tm5BiPb2 at its relaxed geometry, with properties calculated at the PBE-GGA level.

ΔE_f: -0.46 eV/atom
DOS at the Fermi energy: 0.991 states/eV per atom
energy relative to the lowest polymorph listed for this composition: 0.0000 eV per atom
space group: I4/mcm (140)
total energy: -74.66 eV per cell

Cell: 8.243 8.243 8.888 Å, 117.63 117.63 90.00°
Sites, in units of the cell vectors:
Bi  0.750  0.750  0.500
Bi  0.250  0.250  0.500
Tm  0.698  0.198  0.695
Tm  0.000  0.000  0.000
Tm  0.503  0.302  0.305
Tm  0.500  0.500  0.000
Tm  0.003  0.503  0.305
Tm  0.302  0.802  0.305
Tm  0.198  0.997  0.695
Tm  0.997  0.497  0.695
Tm  0.497  0.698  0.695
Tm  0.802  0.003  0.305
Pb  0.348  0.848  0.000
Pb  0.652  0.152  0.000
Pb  0.848  0.652  0.000
Pb  0.152  0.348  0.000

=====

Below is crystalline Tm6Bi2Pb at its relaxed geometry, with properties calculated at the PBE-GGA level.

ΔE_f: -0.35 eV/atom
DOS at the Fermi energy: 0.996 states/eV per atom
space group: P2_1/c (14)
total energy: -82.92 eV per cell

Cell: 6.299 8.241 10.386 Å, 90.00 90.55 90.00°
Sites, in units of the cell vectors:
Tm  0.647  0.455  0.275
Tm  0.617  0.216  0.552
Tm  0.853  0.955  0.225
Tm  0.117  0.284  0.052
Tm  0.353  0.545  0.725
Tm  0.147  0.045  0.775
Tm  0.383  0.784  0.448
Tm  0.638  0.151  0.956
Tm  0.862  0.651  0.544
Tm  0.883  0.716  0.948
Tm  0.138  0.349  0.456
Tm  0.362  0.849  0.044
Bi  0.605  0.891  0.734
Bi  0.395  0.109  0.266
Bi  0.105  0.609  0.234
Bi  0.895  0.391  0.766
Pb  0.500  0.500  0.000
Pb  0.000  0.000  0.500

=====

Below is crystalline Tm4Bi2Pb at its relaxed geometry, with properties calculated at the PBE-GGA level.

ΔE_f: -0.41 eV/atom
DOS at the Fermi energy: 0.725 states/eV per atom
space group: I4_1/amd (141)
total energy: -64.49 eV per cell

Cell: 8.333 8.333 8.328 Å, 108.93 108.92 110.60°
Sites, in units of the cell vectors:
Tm  0.940  0.250  0.311
Tm  0.500  0.690  0.811
Tm  0.310  0.121  0.810
Tm  0.311  0.500  0.190
Tm  0.940  0.629  0.690
Tm  0.371  0.060  0.310
Tm  0.750  0.061  0.690
Tm  0.879  0.690  0.190
Bi  0.625  0.375  0.250
Bi  0.625  0.375  0.750
Bi  0.625  0.875  0.250
Bi  0.125  0.375  0.750
Pb  0.000  0.000  0.000
Pb  0.250  0.750  0.500

=====

Below is crystalline TmBiPb at its relaxed geometry, with properties calculated at the PBE-GGA level.

ΔE_f: 0.03 eV/atom
DOS at the Fermi energy: 0.844 states/eV per atom
energy relative to the lowest polymorph listed for this composition: 0.3522 eV per atom
space group: I4mm (107)
total energy: -11.98 eV per cell

Cell: 3.412 3.412 8.826 Å, 101.14 101.14 90.00°
Sites, in units of the cell vectors:
Tm  0.764  0.764  0.528
Pb  0.137  0.137  0.274
Bi  0.949  0.949  0.898